# Li3AlCd4 | Alexandria via LeMat-Bulk | PBE | relaxed
data_Li3AlCd4
_chemical_formula_sum 'Li6 Al2 Cd8'
_cell_length_a 14.4831
_cell_length_b 4.6237
_cell_length_c 4.6238
_cell_angle_alpha 90.00
_cell_angle_beta 108.52
_cell_angle_gamma 90.00
_symmetry_space_group_name_H-M 'C 1 2/m 1'
_symmetry_Int_Tables_number 12
_symmetry_space_group_name_Hall '-C 2y'
loop_
_atom_site_label
_atom_site_type_symbol
_atom_site_fract_x
_atom_site_fract_y
_atom_site_fract_z
_atom_site_occupancy
Li1 Li 0.0000 0.0000 0.0000 1
Li2 Li 0.2480 0.5000 0.7485 1
Al1 Al 0.0000 0.5000 0.5000 1
Cd1 Cd 0.1289 0.0000 0.6297 1
Cd2 Cd 0.1289 0.5000 0.1291 1
# N(E_F) (states/eV/f.u.): 2.31
# Energy of formation from the pure elements (eV/atom): -0.19